Computed, not measured: crystalline MgCo3O at its relaxed geometry at the GGA+U level of DFT.

Values from the calculation:
- Relative energy among the computed polymorphs: 0 meV/atom
- V: 11.28 Å³/atom
- Crystal system: cubic

Cell lengths 3.8348, 3.8348, 3.8348 Å; angles 90.00, 90.00, 90.00 degrees
Atoms (fractional coordinates):
Mg 0.0000 0.0000 0.0000
Co 0.0000 0.5000 0.5000
Co 0.5000 0.0000 0.5000
Co 0.5000 0.5000 0.0000
O 0.5000 0.5000 0.5000